1.
Zn2SiAg SCAN PBEsol geometry; theoretical density = 7.2 Mg/m³; symmetry = P4mm, No. 99; formation energy without anion corrections = 0.25 eV/atom
1.0
3.4698 0.0000 0.0000
0.0000 3.4698 0.0000
0.0000 0.0000 5.1020
Ag Zn Si
1 2 1
direct
0.0000 0.0000 0.4994
0.5000 0.5000 0.2471
0.0000 0.0000 0.9991
0.5000 0.5000 0.7544

***

2.
ScCu4Au SCAN PBEsol geometry; theoretical density = 10.2 Mg/m³; symmetry = F-43m, No. 216; formation energy = -376 meV/atom
1.0
4.8530 0.0000 0.0000
2.4265 4.2028 0.0000
2.4265 1.4009 3.9625
Cu Sc Au
4 1 1
direct
0.3747 0.8758 0.3747
0.3747 0.3747 0.3747
0.8758 0.3747 0.3747
0.3747 0.3747 0.8758
0.7500 0.7500 0.7500
0.0000 0.0000 0.0000

***

3.
ZrInBr3 SCAN PBEsol geometry; theoretical density = 4.6 Mg/m³; symmetry = Pm-3m, No. 221; formation energy without anion corrections = 0.05 eV/atom
1.0
-3.7224 -3.6892 1.4697
3.8632 -2.8974 2.5116
-0.9200 2.7608 4.5999
In Br Zr
1 3 1
direct
0.0000 0.0000 0.0000
0.0000 0.5000 0.0000
0.5000 0.0000 0.0000
0.0000 0.0000 0.5000
0.5000 0.5000 0.5000

***

4.
Mo2PtCl SCAN PBEsol geometry; polymorph energy (0 for the lowest one) = 25.56 kJ per mole of atoms; theoretical density = 11.4 Mg/m³; symmetry = C2/m, No. 12; formation energy without anion corrections = 0.62 eV/atom
1.0
2.7365 0.0113 0.0173
-0.8550 4.9387 -0.0081
-0.8550 -1.9747 4.5267
Cl Mo Pt
1 2 1
direct
0.5000 0.5000 0.5000
0.0000 0.0000 0.5000
0.0000 0.5000 0.0000
0.5000 0.0000 0.0000

***

5.
TaHgCl2 SCAN PBEsol geometry; polymorph energy (0 for the lowest one) = 62.35 kJ per mole of atoms; theoretical density = 9.9 Mg/m³; symmetry = Cmmm, No. 65; formation energy without anion corrections = 0.44 eV/atom
1.0
-0.1734 0.2112 -3.0361
-3.8919 -3.3356 -0.0097
-1.8364 4.7655 0.4363
Cl Ta Hg
2 1 1
direct
0.0000 0.0000 0.5000
0.0000 0.5000 0.0000
0.5000 0.5000 0.5000
0.5000 0.0000 0.0000

***

6.
ZrSc4 SCAN PBEsol geometry; theoretical density = 3.9 Mg/m³; symmetry = I4/m, No. 87; formation energy = 58 meV/atom
1.0
4.4824 0.0000 0.0000
2.2412 5.0548 0.0000
2.2412 0.0000 5.0548
Zr Sc
1 4
direct
0.0000 0.0000 0.0000
0.3980 0.8082 0.3958
0.7938 0.6042 0.8082
0.6020 0.1918 0.6042
0.2062 0.3958 0.1918

***

7.
ZrTeSe2N SCAN PBEsol geometry; theoretical density = 6.0 Mg/m³; symmetry = P4/mmm, No. 123; formation energy without anion corrections = 0.59 eV/atom
1.0
-0.3468 -2.3554 -3.0613
5.1758 -1.0634 0.2318
-0.9802 -4.0649 3.2387
Te Se Zr N
1 2 1 1
direct
0.0000 0.0000 0.0000
0.0000 0.5000 0.0000
0.0000 0.0000 0.5000
0.5000 0.5000 0.5000
0.5000 0.0000 0.0000

***

8.
RbLiZnRu2 SCAN PBEsol geometry; theoretical density = 6.6 Mg/m³; symmetry = P4/mmm, No. 123; formation energy = 1347 meV/atom
1.0
-3.6371 -2.2890 -1.1288
0.6302 -2.7099 3.4643
-2.5639 2.7738 2.6362
Li Rb Zn Ru
1 1 1 2
direct
0.0000 0.0000 0.0000
0.5000 0.5000 0.5000
0.0000 0.0000 0.5000
0.0000 0.5000 0.0000
0.5000 0.0000 0.0000

***

Among the records above, which one has the highest theoretical density? Mo2PtCl

***

Look up the theoretical density of the fifth one. 9.9 Mg/m³

***

Among the records above, which one has the highest theoretical density? Mo2PtCl